[1]
VASP calculation (GGA-PBE) on a geometry-optimized Rh3C structure.

energy	-7.484	eV/atom
E_form	0.34	eV per atom
M_tot	0.8	Bohr magnetons per cell
crystal system	hexagonal

a = 2.817 Å, b = 2.817 Å, c = 7.245 Å
α = 90.00°, β = 90.00°, γ = 120.00°
Element x y z (fractional)
Rh 0.000 0.000 0.000
Rh 0.667 0.333 0.315
Rh 0.667 0.333 0.685
C 0.000 0.000 0.500


[2]
VASP calculation (GGA-PBE) on a geometry-optimized RhC structure.

energy	-7.031	eV/atom
E_form	1.26	eV per atom
M_tot	0.0	Bohr magnetons per cell
crystal system	tetragonal

a = 6.349 Å, b = 6.349 Å, c = 6.349 Å
α = 153.65°, β = 153.65°, γ = 37.61°
Element x y z (fractional)
Rh 0.375 0.625 0.750
Rh 0.625 0.375 0.250
C 0.125 0.875 0.250
C 0.875 0.125 0.750


[3]
VASP calculation (GGA-PBE) on a geometry-optimized Rh4C3 structure.

energy	-7.154	eV/atom
E_form	1.00	eV per atom
M_tot	0.0	Bohr magnetons per cell
polymorph energy (0 for the lowest one)	535	meV/atom
crystal system	tetragonal

a = 9.949 Å, b = 9.949 Å, c = 9.949 Å
α = 163.80°, β = 163.80°, γ = 22.98°
Element x y z (fractional)
Rh 0.065 0.065 0.000
Rh 0.322 0.322 0.000
Rh 0.678 0.678 0.000
Rh 0.935 0.935 0.000
C 0.212 0.212 0.000
C 0.500 0.500 0.000
C 0.788 0.788 0.000


[4]
VASP calculation (GGA-PBE) on a geometry-optimized RhC structure.

energy	-7.442	eV/atom
E_form	0.85	eV per atom
M_tot	0.0	Bohr magnetons per cell
crystal system	orthorhombic

a = 3.689 Å, b = 3.689 Å, c = 4.226 Å
α = 90.00°, β = 90.00°, γ = 125.55°
Element x y z (fractional)
Rh 0.207 0.793 0.750
Rh 0.793 0.207 0.250
C 0.124 0.876 0.250
C 0.876 0.124 0.750


[5]
VASP calculation (GGA-PBE) on a geometry-optimized RhC structure.

energy	-7.500	eV/atom
E_form	0.79	eV per atom
M_tot	0.0	Bohr magnetons per cell
crystal system	orthorhombic

a = 5.665 Å, b = 5.814 Å, c = 6.695 Å
α = 90.00°, β = 90.00°, γ = 90.00°
Element x y z (fractional)
Rh 0.125 0.068 0.284
Rh 0.192 0.367 0.970
Rh 0.308 0.633 0.470
Rh 0.375 0.932 0.784
Rh 0.625 0.432 0.716
Rh 0.692 0.133 0.030
Rh 0.808 0.867 0.530
Rh 0.875 0.568 0.216
C 0.151 0.947 0.561
C 0.174 0.413 0.286
C 0.326 0.587 0.786
C 0.349 0.053 0.061
C 0.651 0.553 0.439
C 0.674 0.087 0.714
C 0.826 0.913 0.214
C 0.849 0.447 0.939


[6]
VASP calculation (GGA-PBE) on a geometry-optimized Rh4C structure.

energy	-7.400	eV/atom
E_form	0.33	eV per atom
M_tot	0.0	Bohr magnetons per cell
polymorph energy (0 for the lowest one)	0	meV/atom
crystal system	cubic

a = 4.050 Å, b = 4.050 Å, c = 4.050 Å
α = 90.00°, β = 90.00°, γ = 90.00°
Element x y z (fractional)
Rh 0.000 0.000 0.000
Rh 0.000 0.500 0.500
Rh 0.500 0.000 0.500
Rh 0.500 0.500 0.000
C 0.500 0.500 0.500


[7]
VASP calculation (GGA-PBE) on a geometry-optimized Rh6C7 structure.

energy	-7.032	eV/atom
E_form	1.33	eV per atom
M_tot	0.0	Bohr magnetons per cell
crystal system	trigonal

a = 9.009 Å, b = 9.009 Å, c = 9.009 Å
α = 27.91°, β = 27.91°, γ = 27.91°
Element x y z (fractional)
Rh 0.083 0.083 0.083
Rh 0.198 0.198 0.198
Rh 0.304 0.304 0.304
Rh 0.696 0.696 0.696
Rh 0.802 0.802 0.802
Rh 0.917 0.917 0.917
C 0.180 0.528 0.528
C 0.472 0.472 0.820
C 0.472 0.820 0.472
C 0.500 0.500 0.500
C 0.528 0.180 0.528
C 0.528 0.528 0.180
C 0.820 0.472 0.472


[8]
VASP calculation (GGA-PBE) on a geometry-optimized Rh3C4 structure.

energy	-7.220	eV/atom
E_form	1.20	eV per atom
M_tot	0.0	Bohr magnetons per cell
polymorph energy (0 for the lowest one)	313	meV/atom
crystal system	tetragonal

a = 7.541 Å, b = 7.541 Å, c = 7.541 Å
α = 155.98°, β = 155.98°, γ = 34.23°
Element x y z (fractional)
Rh 0.000 0.000 0.000
Rh 0.312 0.312 0.000
Rh 0.688 0.688 0.000
C 0.166 0.166 0.000
C 0.455 0.455 0.000
C 0.545 0.545 0.000
C 0.834 0.834 0.000